[1]
# Mo2PtSe | Alexandria | PBE-GGA | optimized geometry
# Crystal system: tetragonal
# Size of the total moment in μB/cell: 0.0
# Calculated total energy in eV per atom: -7.4432
data_Mo2PtSe
_space_group_name_H-M_alt 'P 4/m m m'
_space_group_IT_number 123
_space_group_name_Hall '-P 4 2'
_cell_length_a 3.798
_cell_length_b 3.798
_cell_length_c 4.515
_cell_angle_alpha 90.00
_cell_angle_beta 90.00
_cell_angle_gamma 90.00
loop_
_atom_site_label
_atom_site_type_symbol
_atom_site_fract_x
_atom_site_fract_y
_atom_site_fract_z
_atom_site_occupancy
Mo1 Mo 0.000 0.500 0.000 1
Pt1 Pt 0.000 0.000 0.500 1
Se1 Se 0.500 0.500 0.500 1


[2]
# HgSbTeO2 | Alexandria | PBE-GGA | optimized geometry
# Crystal system: tetragonal
# Size of the total moment in μB/cell: 1.0
# Calculated total energy in eV per atom: -3.0143
data_HgSbTeO2
_space_group_name_H-M_alt 'P 4/m m m'
_space_group_IT_number 123
_space_group_name_Hall '-P 4 2'
_cell_length_a 4.271
_cell_length_b 4.271
_cell_length_c 6.045
_cell_angle_alpha 90.00
_cell_angle_beta 90.00
_cell_angle_gamma 90.00
loop_
_atom_site_label
_atom_site_type_symbol
_atom_site_fract_x
_atom_site_fract_y
_atom_site_fract_z
_atom_site_occupancy
Hg1 Hg 0.000 0.000 0.000 1
Sb1 Sb 0.000 0.000 0.500 1
Te1 Te 0.500 0.500 0.500 1
O1 O 0.000 0.500 0.000 1


[3]
# Ba2CuHIr | Alexandria | PBE-GGA | optimized geometry
# Crystal system: tetragonal
# Size of the total moment in μB/cell: 0.0
# Calculated total energy in eV per atom: -4.1074
data_Ba2CuHIr
_space_group_name_H-M_alt 'P 4/m m m'
_space_group_IT_number 123
_space_group_name_Hall '-P 4 2'
_cell_length_a 5.638
_cell_length_b 5.638
_cell_length_c 3.714
_cell_angle_alpha 90.00
_cell_angle_beta 90.00
_cell_angle_gamma 90.00
loop_
_atom_site_label
_atom_site_type_symbol
_atom_site_fract_x
_atom_site_fract_y
_atom_site_fract_z
_atom_site_occupancy
Ba1 Ba 0.000 0.500 0.000 1
Cu1 Cu 0.000 0.000 0.500 1
H1 H 0.500 0.500 0.000 1
Ir1 Ir 0.500 0.500 0.500 1


[4]
# MgPa3Sn3Ru2 | Alexandria | PBE-GGA | optimized geometry
# Crystal system: hexagonal
# Size of the total moment in μB/cell: 0.0
# Calculated formation energy in eV/atom: -0.341
# Calculated total energy in eV per atom: -7.0795
data_MgPa3Sn3Ru2
_space_group_name_H-M_alt 'P -6 2 m'
_space_group_IT_number 189
_space_group_name_Hall 'P -6 -2'
_cell_length_a 7.7106
_cell_length_b 7.7106
_cell_length_c 3.8624
_cell_angle_alpha 90.00
_cell_angle_beta 90.00
_cell_angle_gamma 120.00
loop_
_atom_site_label
_atom_site_type_symbol
_atom_site_fract_x
_atom_site_fract_y
_atom_site_fract_z
_atom_site_occupancy
Mg1 Mg 0.0000 0.0000 0.0000 1
Pa1 Pa 0.0000 0.4071 0.0000 1
Sn1 Sn 0.0000 0.7292 0.5000 1
Ru1 Ru 0.3333 0.6667 0.5000 1


[5]
# Eu2CuP | Alexandria | PBE-GGA | optimized geometry
# Crystal system: cubic
# Size of the total moment in μB/cell: 56.0
# Excess energy over the best structure of this formula in the dataset in meV per atom: 0.0
# Calculated formation energy in eV/atom: -0.623
# Calculated total energy in eV per atom: -8.1368
data_Eu2CuP
_space_group_name_H-M_alt 'F m -3 m'
_space_group_IT_number 225
_space_group_name_Hall '-F 4 2 3'
_cell_length_a 7.202
_cell_length_b 7.202
_cell_length_c 7.202
_cell_angle_alpha 90.00
_cell_angle_beta 90.00
_cell_angle_gamma 90.00
loop_
_atom_site_label
_atom_site_type_symbol
_atom_site_fract_x
_atom_site_fract_y
_atom_site_fract_z
_atom_site_occupancy
Eu1 Eu 0.250 0.250 0.250 1
Cu1 Cu 0.000 0.000 0.000 1
P1 P 0.000 0.000 0.500 1


[6]
# RbNb3Rh | Alexandria | PBE-GGA | optimized geometry
# Crystal system: cubic
# Size of the total moment in μB/cell: 0.0
# Excess energy over the best structure of this formula in the dataset in meV per atom: 1495.6
# Calculated formation energy in eV/atom: 2.819
# Calculated total energy in eV per atom: -4.8870
data_RbNb3Rh
_space_group_name_H-M_alt 'P m -3 m'
_space_group_IT_number 221
_space_group_name_Hall '-P 4 2 3'
_cell_length_a 4.731
_cell_length_b 4.731
_cell_length_c 4.731
_cell_angle_alpha 90.00
_cell_angle_beta 90.00
_cell_angle_gamma 90.00
loop_
_atom_site_label
_atom_site_type_symbol
_atom_site_fract_x
_atom_site_fract_y
_atom_site_fract_z
_atom_site_occupancy
Rb1 Rb 0.000 0.000 0.000 1
Nb1 Nb 0.000 0.000 0.500 1
Rh1 Rh 0.500 0.500 0.500 1


[7]
# AlGaOs | Alexandria | PBE-GGA | optimized geometry
# Crystal system: trigonal
# Size of the total moment in μB/cell: 0.0
# Excess energy over the best structure of this formula in the dataset in meV per atom: 344.8
# Calculated formation energy in eV/atom: -0.019
# Calculated total energy in eV per atom: -6.0190
data_AlGaOs
_space_group_name_H-M_alt 'P 3 m 1'
_space_group_IT_number 156
_cell_length_a 4.2241
_cell_length_b 4.2241
_cell_length_c 2.9791
_cell_angle_alpha 90.00
_cell_angle_beta 90.00
_cell_angle_gamma 120.00
loop_
_space_group_symop_operation_xyz
'x,y,z'
'-y,x-y,z'
'-x+y,-x,z'
'-y,-x,z'
'-x+y,y,z'
'x,x-y,z'
loop_
_atom_site_label
_atom_site_type_symbol
_atom_site_fract_x
_atom_site_fract_y
_atom_site_fract_z
_atom_site_occupancy
Al1 Al 0.0000 0.0000 0.0000 1
Ga1 Ga 0.3333 0.6667 0.5014 1
Os1 Os 0.6667 0.3333 0.4997 1


[8]
# Sr3TbRh8 | Alexandria | PBE-GGA | optimized geometry
# Crystal system: trigonal
# Size of the total moment in μB/cell: 0.0
# Calculated formation energy in eV/atom: -0.384
# Calculated total energy in eV per atom: -6.0916
data_Sr3TbRh8
_space_group_name_H-M_alt 'R 3 m'
_space_group_IT_number 160
_space_group_name_Hall 'R 3 -2"'
_cell_length_a 5.4442
_cell_length_b 5.4442
_cell_length_c 26.7443
_cell_angle_alpha 90.00
_cell_angle_beta 90.00
_cell_angle_gamma 120.00
loop_
_atom_site_label
_atom_site_type_symbol
_atom_site_fract_x
_atom_site_fract_y
_atom_site_fract_z
_atom_site_occupancy
Sr1 Sr 0.0000 0.0000 0.0000 1
Sr2 Sr 0.0000 0.0000 0.1241 1
Sr3 Sr 0.0000 0.0000 0.6267 1
Tb1 Tb 0.0000 0.0000 0.5005 1
Rh1 Rh 0.0000 0.0000 0.3130 1
Rh2 Rh 0.0000 0.0000 0.8131 1
Rh3 Rh 0.0035 0.5018 0.0651 1
Rh4 Rh 0.1679 0.3359 0.8941 1


Copy entry 2 word for word.
# HgSbTeO2 | Alexandria | PBE-GGA | optimized geometry
# Crystal system: tetragonal
# Size of the total moment in μB/cell: 1.0
# Calculated total energy in eV per atom: -3.0143
data_HgSbTeO2
_space_group_name_H-M_alt 'P 4/m m m'
_space_group_IT_number 123
_space_group_name_Hall '-P 4 2'
_cell_length_a 4.271
_cell_length_b 4.271
_cell_length_c 6.045
_cell_angle_alpha 90.00
_cell_angle_beta 90.00
_cell_angle_gamma 90.00
loop_
_atom_site_label
_atom_site_type_symbol
_atom_site_fract_x
_atom_site_fract_y
_atom_site_fract_z
_atom_site_occupancy
Hg1 Hg 0.000 0.000 0.000 1
Sb1 Sb 0.000 0.000 0.500 1
Te1 Te 0.500 0.500 0.500 1
O1 O 0.000 0.500 0.000 1


- What is the formula in the fifth record?
  Eu2CuP